# 1
Crystalline Pu2Al2Ga3 at its relaxed geometry, computed with GGA-PBE.

Calculated values
E_form   -0.231 eV/atom
Offset from the most stable computed form   26.7 kJ/mol of formula units

The structure in CIF format:
```
data_Pu2Al2Ga3
_chemical_formula_sum 'Pu4 Al4 Ga6'
_space_group_name_H-M_alt 'C 1 2/m 1'
_space_group_IT_number 12
_cell_length_a 10.8309
_cell_length_b 4.3379
_cell_length_c 6.3924
_cell_angle_alpha 90.00
_cell_angle_beta 106.13
_cell_angle_gamma 90.00
loop_
_space_group_symop_operation_xyz
'x,y,z'
'-x,-y,-z'
'-x,y,-z'
'x,-y,z'
'x+1/2,y+1/2,z'
'-x+1/2,-y+1/2,-z'
'-x+1/2,y+1/2,-z'
'x+1/2,-y+1/2,z'
loop_
_atom_site_label
_atom_site_fract_x
_atom_site_fract_y
_atom_site_fract_z
Pu1 0.1185 0.0000 0.3397
Al1 0.0987 0.5000 0.6816
Ga1 0.0000 0.5000 0.0000
Ga2 0.2254 0.0000 0.8521
```

# 2
Crystalline SnTe at its relaxed geometry, computed with GGA-PBE.

Calculated values
Raw formation energy   -0.135 eV/atom

The structure in CIF format:
```
data_SnTe
_chemical_formula_sum 'Sn6 Te6'
_space_group_name_H-M_alt 'P 63/m'
_space_group_IT_number 176
_space_group_name_Hall '-P 6c'
_cell_length_a 10.9734
_cell_length_b 10.9734
_cell_length_c 4.3649
_cell_angle_alpha 90.00
_cell_angle_beta 90.00
_cell_angle_gamma 120.00
loop_
_atom_site_label
_atom_site_fract_x
_atom_site_fract_y
_atom_site_fract_z
Sn1 0.1620 0.6789 0.2500
Te1 0.1222 0.3315 0.7500
```

# 3
Crystalline NiRuBr2 at its relaxed geometry, computed with GGA-PBE.

Calculated values
Offset from the most stable computed form   0.0 kJ/mol of formula units
Raw formation energy   0.173 eV/atom

The structure in CIF format:
```
data_NiRuBr2
_chemical_formula_sum 'Ni2 Ru2 Br4'
_space_group_name_H-M_alt 'C 1 m 1'
_space_group_IT_number 8
_cell_length_a 6.4365
_cell_length_b 3.8281
_cell_length_c 7.6165
_cell_angle_alpha 90.00
_cell_angle_beta 96.55
_cell_angle_gamma 90.00
loop_
_space_group_symop_operation_xyz
'x,y,z'
'x,-y,z'
'x+1/2,y+1/2,z'
'x+1/2,-y+1/2,z'
loop_
_atom_site_label
_atom_site_fract_x
_atom_site_fract_y
_atom_site_fract_z
Ni1 0.0000 0.0000 0.0000
Ru1 0.1313 0.5000 0.8611
Br1 0.0280 0.5000 0.1885
Br2 0.2747 0.0000 0.6775
```

# 4
Crystalline Li4ZnAg2 at its relaxed geometry, computed with GGA-PBE.

Calculated values
E_form   -0.104 eV/atom
Offset from the most stable computed form   17.5 kJ/mol of formula units

The structure in CIF format:
```
data_Li4ZnAg2
_chemical_formula_sum 'Li8 Zn2 Ag4'
_space_group_name_H-M_alt 'C 1 2/m 1'
_space_group_IT_number 12
_cell_length_a 13.9261
_cell_length_b 2.8521
_cell_length_c 6.9605
_cell_angle_alpha 90.00
_cell_angle_beta 118.94
_cell_angle_gamma 90.00
loop_
_space_group_symop_operation_xyz
'x,y,z'
'-x,-y,-z'
'-x,y,-z'
'x,-y,z'
'x+1/2,y+1/2,z'
'-x+1/2,-y+1/2,-z'
'-x+1/2,y+1/2,-z'
'x+1/2,-y+1/2,z'
loop_
_atom_site_label
_atom_site_fract_x
_atom_site_fract_y
_atom_site_fract_z
Li1 0.0856 0.0000 0.2234
Li2 0.1387 0.5000 0.8893
Zn1 0.0000 0.0000 0.5000
Ag1 0.2232 0.0000 0.6591
```

| no. | final energy (eV/atom) | density of states at the Fermi level (states/eV per cell) |
| --- | --- | --- |
| 1 | -6.69 | 34.6 |
| 2 | -3.71 | 1.2 |
| 3 | -4.43 | 9.0 |
| 4 | -2.19 | 4.9 |